Entry 1:
## In2GaCuHg (PBEsol)

Data for a relaxed structure of In2GaCuHg.

## Properties
Formation enthalpy at 0 K: 7.97 kcal/mol of atoms
Energy: -12.48 eV per formula unit

Cell and atoms, written as CIF:
```
data_In2GaCuHg
_space_group_name_H-M_alt 'P 1'
_space_group_IT_number 1
_cell_length_a 4.523
_cell_length_b 5.248
_cell_length_c 5.248
_cell_angle_alpha 90.00
_cell_angle_beta 90.00
_cell_angle_gamma 90.00
loop_
_space_group_symop_operation_xyz
'x,y,z'
loop_
_atom_site_label
_atom_site_fract_x
_atom_site_fract_y
_atom_site_fract_z
Cu1 0.500 0.000 0.000
Hg1 0.500 0.500 0.500
Ga1 0.000 0.000 0.000
In1 0.000 0.000 0.500
In2 0.000 0.500 0.000
```

---

Entry 2:
## Sr2Co (PBEsol)

Data for a relaxed structure of Sr2Co.

## Properties
Formation enthalpy at 0 K: 11.26 kcal/mol of atoms
Energy: -9.95 eV per formula unit

Cell and atoms, written as CIF:
```
data_Sr2Co
_space_group_name_H-M_alt 'P 1'
_space_group_IT_number 1
_cell_length_a 3.603
_cell_length_b 3.604
_cell_length_c 14.788
_cell_angle_alpha 97.00
_cell_angle_beta 97.00
_cell_angle_gamma 90.00
loop_
_space_group_symop_operation_xyz
'x,y,z'
loop_
_atom_site_label
_atom_site_fract_x
_atom_site_fract_y
_atom_site_fract_z
Co1 0.375 0.625 0.250
Co2 0.625 0.375 0.750
Sr1 0.934 0.184 0.368
Sr2 0.066 0.816 0.632
Sr3 0.816 0.066 0.132
Sr4 0.184 0.934 0.868
```

---

Entry 3:
## LaPt2I (PBEsol)

Data for a relaxed structure of LaPt2I.

## Properties
Formation energy from raw total energies: -1.2 eV/f.u.
Energy: -22.29 eV per formula unit

Cell and atoms, written as CIF:
```
data_LaPt2I
_space_group_name_H-M_alt 'P 1'
_space_group_IT_number 1
_cell_length_a 4.993
_cell_length_b 4.993
_cell_length_c 4.993
_cell_angle_alpha 60.00
_cell_angle_beta 60.00
_cell_angle_gamma 60.00
loop_
_space_group_symop_operation_xyz
'x,y,z'
loop_
_atom_site_label
_atom_site_fract_x
_atom_site_fract_y
_atom_site_fract_z
I1 0.000 0.000 0.000
Pt1 0.250 0.250 0.250
Pt2 0.750 0.750 0.750
La1 0.500 0.500 0.500
```

---

Entry 4:
## KMn2Pb (PBEsol)

Data for a relaxed structure of KMn2Pb.

## Properties
ΔE to the lowest computed polymorph: 0 meV per atom
Formation enthalpy at 0 K: 21.69 kcal/mol of atoms
Energy: -20.89 eV per formula unit

Cell and atoms, written as CIF:
```
data_KMn2Pb
_space_group_name_H-M_alt 'P 1'
_space_group_IT_number 1
_cell_length_a 5.000
_cell_length_b 4.997
_cell_length_c 4.997
_cell_angle_alpha 59.96
_cell_angle_beta 59.98
_cell_angle_gamma 59.98
loop_
_space_group_symop_operation_xyz
'x,y,z'
loop_
_atom_site_label
_atom_site_fract_x
_atom_site_fract_y
_atom_site_fract_z
K1 0.500 0.000 0.000
Mn1 0.249 0.751 0.751
Mn2 0.751 0.249 0.249
Pb1 0.000 0.500 0.500
```

---

Entry 5:
## SiOs2Cl (PBEsol)

Data for a relaxed structure of SiOs2Cl.

## Properties
Formation energy from raw total energies: 2.8 eV/f.u.
ΔE to the lowest computed polymorph: 0 meV per atom
Energy: -29.38 eV per formula unit

Cell and atoms, written as CIF:
```
data_SiOs2Cl
_space_group_name_H-M_alt 'P 1'
_space_group_IT_number 1
_cell_length_a 2.755
_cell_length_b 4.081
_cell_length_c 5.101
_cell_angle_alpha 90.00
_cell_angle_beta 90.00
_cell_angle_gamma 90.00
loop_
_space_group_symop_operation_xyz
'x,y,z'
loop_
_atom_site_label
_atom_site_fract_x
_atom_site_fract_y
_atom_site_fract_z
Cl1 0.000 0.500 0.500
Os1 0.000 0.000 0.000
Os2 0.500 0.000 0.500
Si1 0.500 0.500 0.000
```

---

Entry 6:
## Sr6YScB6O18 (PBEsol)

Data for a relaxed structure of Sr6YScB6O18.

## Properties
Formation energy from raw total energies: -95.3 eV/f.u.
Energy: -256.35 eV per formula unit

Cell and atoms, written as CIF:
```
data_Sr6YScB6O18
_space_group_name_H-M_alt 'P 1'
_space_group_IT_number 1
_cell_length_a 7.680
_cell_length_b 7.680
_cell_length_c 7.680
_cell_angle_alpha 104.97
_cell_angle_beta 104.97
_cell_angle_gamma 104.97
loop_
_space_group_symop_operation_xyz
'x,y,z'
loop_
_atom_site_label
_atom_site_fract_x
_atom_site_fract_y
_atom_site_fract_z
Sr1 0.736 0.839 0.352
Sr2 0.352 0.736 0.839
Sr3 0.839 0.352 0.736
Sr4 0.264 0.161 0.648
Sr5 0.648 0.264 0.161
Sr6 0.161 0.648 0.264
Y1 0.000 0.000 0.000
Sc1 0.500 0.500 0.500
B1 0.041 0.295 0.377
B2 0.377 0.041 0.295
B3 0.295 0.377 0.041
B4 0.623 0.959 0.705
B5 0.705 0.623 0.959
B6 0.959 0.705 0.623
O1 0.498 0.219 0.433
O2 0.433 0.498 0.219
O3 0.017 0.727 0.817
O4 0.727 0.817 0.017
O5 0.817 0.017 0.727
O6 0.183 0.983 0.273
O7 0.983 0.273 0.183
O8 0.273 0.183 0.983
O9 0.075 0.809 0.550
O10 0.809 0.550 0.075
O11 0.550 0.075 0.809
O12 0.925 0.191 0.450
O13 0.191 0.450 0.925
O14 0.450 0.925 0.191
O15 0.781 0.567 0.502
O16 0.567 0.502 0.781
O17 0.502 0.781 0.567
O18 0.219 0.433 0.498
```

---

Entry 7:
## ZrBePb2 (PBEsol)

Data for a relaxed structure of ZrBePb2.

## Properties
Formation enthalpy at 0 K: 4.60 kcal/mol of atoms
Energy: -20.29 eV per formula unit

Cell and atoms, written as CIF:
```
data_ZrBePb2
_space_group_name_H-M_alt 'P 1'
_space_group_IT_number 1
_cell_length_a 4.151
_cell_length_b 4.151
_cell_length_c 5.668
_cell_angle_alpha 111.48
_cell_angle_beta 111.48
_cell_angle_gamma 90.00
loop_
_space_group_symop_operation_xyz
'x,y,z'
loop_
_atom_site_label
_atom_site_fract_x
_atom_site_fract_y
_atom_site_fract_z
Pb1 0.000 0.000 0.000
Pb2 0.750 0.250 0.500
Be1 0.250 0.750 0.500
Zr1 0.500 0.500 0.000
```

---

Entry 8:
## MgSb2Pb (PBEsol)

Data for a relaxed structure of MgSb2Pb.

## Properties
Formation energy from raw total energies: 0.1 eV/f.u.
ΔE to the lowest computed polymorph: 98 meV per atom
Energy: -14.73 eV per formula unit

Cell and atoms, written as CIF:
```
data_MgSb2Pb
_space_group_name_H-M_alt 'P 1'
_space_group_IT_number 1
_cell_length_a 6.599
_cell_length_b 6.599
_cell_length_c 8.090
_cell_angle_alpha 114.07
_cell_angle_beta 114.07
_cell_angle_gamma 90.00
loop_
_space_group_symop_operation_xyz
'x,y,z'
loop_
_atom_site_label
_atom_site_fract_x
_atom_site_fract_y
_atom_site_fract_z
Pb1 0.250 0.750 0.500
Pb2 0.000 0.000 0.000
Sb1 0.387 0.875 0.250
Sb2 0.863 0.375 0.250
Sb3 0.125 0.137 0.750
Sb4 0.625 0.613 0.750
Mg1 0.750 0.250 0.500
Mg2 0.500 0.500 0.000
```

---

Entry 9:
## LiAsOs2 (PBEsol)

Data for a relaxed structure of LiAsOs2.

## Properties
Formation enthalpy at 0 K: 9.74 kcal/mol of atoms
Energy: -29.82 eV per formula unit

Cell and atoms, written as CIF:
```
data_LiAsOs2
_space_group_name_H-M_alt 'P 1'
_space_group_IT_number 1
_cell_length_a 2.741
_cell_length_b 2.741
_cell_length_c 8.854
_cell_angle_alpha 90.00
_cell_angle_beta 90.00
_cell_angle_gamma 118.30
loop_
_space_group_symop_operation_xyz
'x,y,z'
loop_
_atom_site_label
_atom_site_fract_x
_atom_site_fract_y
_atom_site_fract_z
As1 0.000 0.000 0.506
Li1 0.500 0.500 0.248
Os1 0.000 0.000 0.998
Os2 0.500 0.500 0.748
```

---

Entry 10:
## Zr2AlSe (PBEsol)

Data for a relaxed structure of Zr2AlSe.

## Properties
Formation energy from raw total energies: -2.0 eV/f.u.
ΔE to the lowest computed polymorph: 185 meV per atom
Energy: -28.15 eV per formula unit

Cell and atoms, written as CIF:
```
data_Zr2AlSe
_space_group_name_H-M_alt 'P 1'
_space_group_IT_number 1
_cell_length_a 3.807
_cell_length_b 3.991
_cell_length_c 5.001
_cell_angle_alpha 90.00
_cell_angle_beta 90.00
_cell_angle_gamma 90.00
loop_
_space_group_symop_operation_xyz
'x,y,z'
loop_
_atom_site_label
_atom_site_fract_x
_atom_site_fract_y
_atom_site_fract_z
Se1 0.500 0.000 0.500
Zr1 0.000 0.000 0.000
Zr2 0.000 0.500 0.500
Al1 0.500 0.500 0.000
```